Computed, not measured: Ti2FeO5 after structural relaxation at the PBEsol level of DFT.

Unit cell a=3.7551 b=9.6478 c=10.0143 alpha=90.00 beta=90.00 gamma=90.00
Last column: nearest neighbours and their distance in Å.
Space group Cmcm (No. 63)
Unique sites:
1 Ti 0.0000 0.1359 0.0663 [8 per cell]  5 O 1.83-2.01
2 Fe 0.0000 0.1928 0.7500 [4 per cell]  4 O 1.95-2.08
3 O 0.0000 0.0473 0.6148 [8 per cell]  2 Ti 1.83-2.01, 1 Fe 1.95
4 O 0.0000 0.2140 0.2500 [4 per cell]  2 Ti 1.99, 2 Fe 2.08
5 O 0.0000 0.3149 0.5597 [8 per cell]  3 Ti 1.94-2.14

## Properties
**Total magnetic moment**: 4.0 μB/f.u.
**Final energy**: -8.9896 eV per atom